A plane-wave DFT calculation with PBE was carried out for TaNbPtRh after structural relaxation.

Values from the calculation:
- ρ (g cm⁻³) = 14.6
- SG = No. 47
- ΔH_f (0 K) (eV/atom) = -0.581
- D(E_F) (states/eV/f.u.) = 2.49

Cell and atoms, written as POSCAR:
```
TaNbPtRh
1.0
3.999 0.000 0.000
0.000 4.019 0.000
0.000 0.000 4.036
Ta Nb Pt Rh
1 1 1 1
direct
0.000 0.000 0.000
0.500 0.500 0.000
0.500 0.000 0.500
0.000 0.500 0.500
```

A plane-wave DFT calculation with PBE was carried out for Ta2NbPtRh5 after structural relaxation.

Values from the calculation:
- ρ (g cm⁻³) = 12.7
- SG = No. 140
- ΔH_f (0 K) (eV/atom) = 0.079
- D(E_F) (states/eV/f.u.) = 7.33

Cell and atoms, written as POSCAR:
```
Ta2NbPtRh5
1.0
-3.713 3.713 5.531
3.713 -3.713 5.531
3.713 3.713 -5.531
Ta Nb Pt Rh
4 2 2 10
direct
0.120 0.620 0.741
0.380 0.120 0.500
0.620 0.880 0.500
0.880 0.380 0.259
0.250 0.250 0.000
0.750 0.750 0.000
0.250 0.750 0.500
0.750 0.250 0.500
0.000 0.000 0.000
0.074 0.161 0.500
0.161 0.661 0.087
0.339 0.426 0.500
0.426 0.926 0.087
0.500 0.500 0.000
0.574 0.074 0.913
0.661 0.574 0.500
0.839 0.339 0.913
0.926 0.839 0.500
```

A plane-wave DFT calculation with PBE was carried out for NbTePt2Rh after structural relaxation.

Values from the calculation:
- ρ (g cm⁻³) = 9.7
- SG = No. 123
- D(E_F) (states/eV/f.u.) = 6.45
- formation energy (no corrections) (eV per atom) = 1.101

Cell and atoms, written as POSCAR:
```
NbTePt2Rh
1.0
4.835 0.000 0.000
0.000 4.835 0.000
0.000 0.000 5.238
Nb Te Pt Rh
1 1 2 1
direct
0.000 0.000 0.000
0.000 0.000 0.500
0.000 0.500 0.000
0.500 0.000 0.000
0.500 0.500 0.500
```

A plane-wave DFT calculation with PBE was carried out for Ti5NbPt2Rh2 after structural relaxation.

Values from the calculation:
- ρ (g cm⁻³) = 9.3
- SG = No. 127
- ΔH_f (0 K) (eV/atom) = -0.301
- D(E_F) (states/eV/f.u.) = 13.77

Cell and atoms, written as POSCAR:
```
Ti5NbPt2Rh2
1.0
9.587 0.000 0.000
0.000 9.587 0.000
0.000 0.000 3.616
Ti Nb Pt Rh
10 2 4 4
direct
0.000 0.500 0.000
0.096 0.191 0.000
0.191 0.904 0.000
0.309 0.404 0.000
0.404 0.691 0.000
0.500 0.000 0.000
0.596 0.309 0.000
0.691 0.596 0.000
0.809 0.096 0.000
0.904 0.809 0.000
0.000 0.000 0.500
0.500 0.500 0.500
0.168 0.668 0.500
0.332 0.168 0.500
0.668 0.832 0.500
0.832 0.332 0.500
0.128 0.372 0.500
0.372 0.872 0.500
0.628 0.128 0.500
0.872 0.628 0.500
```

A plane-wave DFT calculation with PBE was carried out for NbTl2PtRh after structural relaxation.

Values from the calculation:
- ρ (g cm⁻³) = 10.2
- SG = No. 123
- ΔH_f (0 K) (eV/atom) = 1.047
- D(E_F) (states/eV/f.u.) = 5.36

Cell and atoms, written as POSCAR:
```
NbTl2PtRh
1.0
5.099 0.000 0.000
0.000 5.099 0.000
0.000 0.000 5.031
Nb Tl Pt Rh
1 2 1 1
direct
0.000 0.000 0.000
0.000 0.500 0.500
0.500 0.000 0.500
0.000 0.000 0.500
0.500 0.500 0.000
```

A plane-wave DFT calculation with PBE was carried out for NbV2PtRh5 after structural relaxation.

Values from the calculation:
- ρ (g cm⁻³) = 10.9
- SG = No. 140
- ΔH_f (0 K) (eV/atom) = 0.000
- D(E_F) (states/eV/f.u.) = 9.77

Cell and atoms, written as POSCAR:
```
NbV2PtRh5
1.0
-3.522 3.522 5.573
3.522 -3.522 5.573
3.522 3.522 -5.573
Nb V Pt Rh
2 4 2 10
direct
0.250 0.250 0.000
0.750 0.750 0.000
0.109 0.609 0.719
0.391 0.109 0.500
0.609 0.891 0.500
0.891 0.391 0.281
0.250 0.750 0.500
0.750 0.250 0.500
0.000 0.000 0.000
0.087 0.156 0.500
0.156 0.656 0.069
0.344 0.413 0.500
0.413 0.913 0.069
0.500 0.500 0.000
0.587 0.087 0.931
0.656 0.587 0.500
0.844 0.344 0.931
0.913 0.844 0.500
```

A plane-wave DFT calculation with PBE was carried out for Nb2PtRh5W after structural relaxation.

Values from the calculation:
- ρ (g cm⁻³) = 12.0
- SG = No. 140
- ΔH_f (0 K) (eV/atom) = 0.280
- D(E_F) (states/eV/f.u.) = 7.10

Cell and atoms, written as POSCAR:
```
Nb2PtRh5W
1.0
-3.694 3.694 5.492
3.694 -3.694 5.492
3.694 3.694 -5.492
Nb Pt Rh W
4 2 10 2
direct
0.118 0.618 0.736
0.382 0.118 0.500
0.618 0.882 0.500
0.882 0.382 0.264
0.250 0.750 0.500
0.750 0.250 0.500
0.000 0.000 0.000
0.075 0.155 0.500
0.155 0.655 0.080
0.345 0.425 0.500
0.425 0.925 0.080
0.500 0.500 0.000
0.575 0.075 0.920
0.655 0.575 0.500
0.845 0.345 0.920
0.925 0.845 0.500
0.250 0.250 0.000
0.750 0.750 0.000
```

A plane-wave DFT calculation with PBE was carried out for NbRuPt after structural relaxation.

Values from the calculation:
- ρ (g cm⁻³) = 13.5
- distance to the lowest polymorph of the same formula (eV per formula unit) = 0.79
- SG = No. 187
- ΔH_f (0 K) (eV/atom) = -0.162
- D(E_F) (states/eV/f.u.) = 3.62

Cell and atoms, written as POSCAR:
```
NbRuPt
1.0
4.461 0.000 0.000
-2.231 3.864 0.000
0.000 0.000 2.785
Nb Ru Pt
1 1 1
direct
0.000 0.000 0.000
0.333 0.667 0.500
0.667 0.333 0.500
```

A plane-wave DFT calculation with PBE was carried out for Nb2Ru4Pt after structural relaxation.

Values from the calculation:
- ρ (g cm⁻³) = 11.8
- distance to the lowest polymorph of the same formula (eV per formula unit) = 0.00
- SG = No. 14
- ΔH_f (0 K) (eV/atom) = -0.074
- D(E_F) (states/eV/f.u.) = 6.81

Cell and atoms, written as POSCAR:
```
Nb2Ru4Pt
1.0
5.075 0.000 0.000
0.000 9.769 0.000
-2.268 0.000 4.468
Nb Ru Pt
4 8 2
direct
0.174 0.040 0.345
0.174 0.460 0.845
0.826 0.540 0.155
0.826 0.960 0.655
0.079 0.188 0.818
0.079 0.312 0.318
0.415 0.727 0.166
0.415 0.773 0.666
0.585 0.227 0.334
0.585 0.273 0.834
0.921 0.688 0.682
0.921 0.812 0.182
0.500 0.000 0.000
0.500 0.500 0.500
```

A plane-wave DFT calculation with PBE was carried out for NbRu4Pt after structural relaxation.

Values from the calculation:
- ρ (g cm⁻³) = 12.9
- SG = No. 2
- ΔH_f (0 K) (eV/atom) = -0.131
- D(E_F) (states/eV/f.u.) = 6.54

Cell and atoms, written as POSCAR:
```
NbRu4Pt
1.0
4.792 0.000 0.000
-1.569 5.256 0.000
-0.779 -1.666 7.080
Nb Ru Pt
2 8 2
direct
0.224 0.270 0.411
0.776 0.730 0.589
0.239 0.948 0.081
0.242 0.458 0.073
0.259 0.792 0.408
0.263 0.125 0.754
0.737 0.875 0.246
0.741 0.208 0.592
0.758 0.542 0.927
0.761 0.052 0.919
0.261 0.624 0.748
0.739 0.376 0.252
```

A plane-wave DFT calculation with PBE was carried out for Nb5Ru6Pt after structural relaxation.

Values from the calculation:
- ρ (g cm⁻³) = 11.0
- SG = No. 71
- ΔH_f (0 K) (eV/atom) = -0.264
- D(E_F) (states/eV/f.u.) = 7.62

Cell and atoms, written as POSCAR:
```
Nb5Ru6Pt
1.0
-2.152 3.460 6.415
2.152 -3.460 6.415
2.152 3.460 -6.415
Nb Ru Pt
5 6 1
direct
0.000 0.000 0.000
0.182 0.682 0.500
0.358 0.358 0.000
0.642 0.642 0.000
0.818 0.318 0.500
0.062 0.831 0.231
0.219 0.500 0.719
0.401 0.169 0.231
0.599 0.831 0.769
0.781 0.500 0.281
0.938 0.169 0.769
0.500 0.000 0.500
```

A plane-wave DFT calculation with PBE was carried out for NbRuPt after structural relaxation.

Values from the calculation:
- ρ (g cm⁻³) = 13.3
- distance to the lowest polymorph of the same formula (eV per formula unit) = 0.55
- SG = No. 107
- ΔH_f (0 K) (eV/atom) = -0.244
- D(E_F) (states/eV/f.u.) = 4.58

Cell and atoms, written as POSCAR:
```
NbRuPt
1.0
-1.659 1.659 4.422
1.659 -1.659 4.422
1.659 1.659 -4.422
Nb Ru Pt
1 1 1
direct
0.000 0.000 0.000
0.355 0.355 0.000
0.669 0.669 0.000
```